{
  "formula": "Pr3Dy4Pu",
  "functional": "PBE",
  "state": "relaxed",
  "density_g_cm3": 8.29,
  "magnetic_moment_mub_per_atom": 0.81,
  "ef_ev_per_fu": 1.23,
  "cell": [[3.468, 0.000, 0.000], [0.000, 11.717, 0.000], [0.000, 0.000, 12.982]],
  "species": ["Pr", "Pr", "Pr", "Pr", "Pr", "Pr", "Dy", "Dy", "Dy", "Dy", "Dy", "Dy", "Dy", "Dy", "Pu", "Pu"],
  "fractional_positions": [[0.000, 0.000, 0.000], [0.000, 0.500, 0.235], [0.000, 0.500, 0.765], [0.500, 0.000, 0.265], [0.500, 0.000, 0.735], [0.500, 0.500, 0.500], [0.000, 0.247, 0.368], [0.000, 0.247, 0.632], [0.000, 0.753, 0.368], [0.000, 0.753, 0.632], [0.500, 0.253, 0.132], [0.500, 0.253, 0.868], [0.500, 0.747, 0.132], [0.500, 0.747, 0.868], [0.000, 0.000, 0.500], [0.500, 0.500, 0.000]]
}